1.
Below is crystalline PmSn8Ru2 at its relaxed geometry, with properties calculated at the PBE level.

Unit cell a=6.4277 b=6.4277 c=7.6763 alpha=90.00 beta=90.00 gamma=90.00
Last column: nearest neighbours and their distance in Å.
Positions (direct):
Ru1 0.5000 0.0000 0.0000  8 Sn 2.77
Sn1 0.2452 0.7548 0.7943  2 Ru 2.77
Sn2 0.7548 0.2452 0.7943  2 Ru 2.77
Sn3 0.7548 0.2452 0.2057  2 Ru 2.77
Pm1 0.5000 0.5000 0.5000  8 Sn 3.24
Sn4 0.2452 0.2452 0.2057  2 Ru 2.77
Sn5 0.7548 0.7548 0.2057  2 Ru 2.77
Sn6 0.2452 0.2452 0.7943  2 Ru 2.77
Sn7 0.7548 0.7548 0.7943  2 Ru 2.77
Ru2 0.0000 0.5000 0.0000  8 Sn 2.77
Sn8 0.2452 0.7548 0.2057  2 Ru 2.77

Results
Density ... 6.79 g cm⁻³
Calculated formation energy ... -0.0036 eV/atom
Total magnetization ... 0.000 μB per atom

***

2.
Below is crystalline Hf3PdW at its relaxed geometry, with properties calculated at the PBE level.

Unit cell a=5.0132 b=5.0132 c=5.0132 alpha=90.00 beta=90.00 gamma=90.00
Last column: nearest neighbours and their distance in Å.
Positions (direct):
Hf1 0.5000 0.0000 0.0000  2 W 2.51
Pd1 0.5000 0.5000 0.5000  12 Hf 3.54
Hf2 0.0000 0.5000 0.0000  2 W 2.51
W1 0.0000 0.0000 0.0000  6 Hf 2.51
Hf3 0.0000 0.0000 0.5000  2 W 2.51

Results
E above lowest polymorph ... 0.0 meV/atom
Density ... 10.88 g cm⁻³
Calculated formation energy ... 0.9406 eV/atom
Total magnetization ... 0.000 μB per atom

***

3.
Below is crystalline KCd5Ag7 at its relaxed geometry, with properties calculated at the PBE level.

Unit cell a=5.7681 b=7.5422 c=7.5422 alpha=82.27 beta=67.52 gamma=67.52
Last column: nearest neighbours and their distance in Å.
Positions (direct):
Cd1 0.7162 0.7838 0.7838  4 Cd 2.93, 6 Ag 3.10-3.17
Ag1 0.3512 0.6488 0.6488  3 Ag 2.87-3.06, 6 Cd 3.06-3.17
Cd2 0.0027 0.0017 0.4941  7 Ag 2.84-3.06, 3 Cd 2.88-2.93
K1 0.9965 0.0035 0.0035  10 Ag 3.45-3.68, 10 Cd 3.60-3.83
Ag2 0.5017 0.7688 0.2278  5 Cd 2.84-3.10, 5 Ag 3.02-3.16
Cd3 0.5014 0.4941 0.0017  7 Ag 2.84-3.06, 3 Cd 2.88-2.93
Cd4 0.0027 0.4941 0.0017  7 Ag 2.84-3.06, 3 Cd 2.88-2.93
Ag3 0.5017 0.2278 0.7688  5 Cd 2.84-3.10, 5 Ag 3.02-3.16
Ag4 0.2779 0.2221 0.2221  4 Cd 2.85, 6 Ag 3.07-3.17
Ag5 0.6440 0.3560 0.3560  5 Ag 2.87-3.17, 4 Cd 3.03
Ag6 0.0013 0.3536 0.6438  4 Ag 2.88-3.14, 5 Cd 3.02-3.14
Ag7 0.0013 0.6438 0.3536  4 Ag 2.88-3.14, 5 Cd 3.02-3.14
Cd5 0.5014 0.0017 0.4941  7 Ag 2.84-3.06, 3 Cd 2.88-2.93

Results
Density ... 8.04 g cm⁻³
Calculated formation energy ... -0.0025 eV/atom
Total magnetization ... 0.000 μB per atom

***

> What is the formula in the third record?

KCd5Ag7